Compound: SrCr2B2O6
Source: the Alexandria database
Functional: GGA+U
Structure: optimized geometry

Magnetic moment ... 8.000 μB per formula unit
E ... -7.687 eV per atom

a = 5.6692 Å, b = 6.0559 Å, c = 5.3066 Å
α = 117.16°, β = 87.66°, γ = 72.50°
Closest atoms and distances in Å follow each position.
Sites, in units of the cell vectors:
O  0.8502  0.5161  0.2329  1 B 1.43
O  0.3697  0.7613  0.0272  1 B 1.39
O  0.6303  0.2387  0.9728  1 B 1.39
Sr  0.5000  0.0000  0.5000  6 O 2.49-2.65
Cr  0.8137  0.4184  0.8089  4 O 2.02-2.12
O  0.1498  0.4839  0.7671  1 B 1.43
B  0.2541  0.6787  0.7914  3 O 1.36-1.43
O  0.2455  0.7655  0.5957  1 B 1.36
Cr  0.1863  0.5816  0.1911  4 O 2.02-2.12
B  0.7459  0.3213  0.2086  3 O 1.36-1.43
O  0.7545  0.2345  0.4043  1 B 1.36